Crystalline AcPaCO at its relaxed geometry, computed with PBE-GGA.

Properties
* final energy: -0.604 Ry per atom
* formation energy without anion corrections: -1.27 eV per atom
* symmetry: P4/nmm (129)

a b c (Å): 4.177 4.177 9.417
angles (deg): 90.00 90.00 90.00
Fractional positions:
Ac 0.250 0.250 0.138
Ac 0.750 0.750 0.862
Pa 0.250 0.750 0.500
Pa 0.750 0.250 0.500
C 0.250 0.250 0.639
C 0.750 0.750 0.361
O 0.250 0.750 0.000
O 0.750 0.250 0.000

Crystalline Ho2OF3 at its relaxed geometry, computed with PBE-GGA.

Properties
* final energy: -0.494 Ry per atom
* formation energy without anion corrections: -3.43 eV per atom
* symmetry: P-3m1 (164)

a b c (Å): 7.485 7.485 3.849
angles (deg): 90.00 90.00 120.00
Fractional positions:
Ho 0.000 0.000 0.000
Ho 0.000 0.500 0.000
Ho 0.500 0.000 0.000
Ho 0.500 0.500 0.000
O 0.333 0.667 0.845
O 0.667 0.333 0.155
F 0.158 0.316 0.217
F 0.158 0.842 0.217
F 0.316 0.158 0.783
F 0.684 0.842 0.217
F 0.842 0.158 0.783
F 0.842 0.684 0.783

Crystalline MnTe2Au at its relaxed geometry, computed with PBE-GGA.

Properties
* excess energy over the best structure of this formula in the dataset: 156 meV per atom
* final energy: -0.339 Ry per atom
* formation energy without anion corrections: 0.07 eV per atom
* symmetry: Imm2 (44)

a b c (Å): 3.801 3.975 13.683
angles (deg): 90.00 90.00 90.00
Fractional positions:
Mn 0.000 0.000 0.000
Mn 0.500 0.500 0.500
Te 0.000 0.000 0.425
Te 0.000 0.500 0.684
Te 0.500 0.000 0.184
Te 0.500 0.500 0.925
Au 0.000 0.500 0.146
Au 0.500 0.000 0.646

Crystalline KRh2W at its relaxed geometry, computed with PBE-GGA.

Properties
* excess energy over the best structure of this formula in the dataset: 450 meV per atom
* final energy: -0.478 Ry per atom
* symmetry: P4mm (99)

a b c (Å): 2.756 2.756 9.817
angles (deg): 90.00 90.00 90.00
Fractional positions:
K 0.000 0.000 0.000
Rh 0.000 0.000 0.473
Rh 0.500 0.500 0.272
W 0.500 0.500 0.667

Crystalline YZrZn2 at its relaxed geometry, computed with PBE-GGA.

Properties
* final energy: -0.329 Ry per atom
* symmetry: C2/m (12)

a b c (Å): 8.843 3.449 6.074
angles (deg): 90.00 102.67 90.00
Fractional positions:
Y 0.000 0.000 0.000
Y 0.500 0.500 0.000
Zr 0.000 0.500 0.500
Zr 0.500 0.000 0.500
Zn 0.245 0.000 0.711
Zn 0.255 0.500 0.289
Zn 0.745 0.500 0.711
Zn 0.755 0.000 0.289

Crystalline AcTlCdPb at its relaxed geometry, computed with PBE-GGA.

Properties
* excess energy over the best structure of this formula in the dataset: 0 meV per atom
* final energy: -0.229 Ry per atom
* symmetry: Pmmm (47)

a b c (Å): 4.862 4.985 5.104
angles (deg): 90.00 90.00 90.00
Fractional positions:
Ac 0.000 0.000 0.000
Tl 0.500 0.000 0.500
Cd 0.000 0.500 0.500
Pb 0.500 0.500 0.000

Crystalline HgAu2I8 at its relaxed geometry, computed with PBE-GGA.

Properties
* excess energy over the best structure of this formula in the dataset: 68 meV per atom
* final energy: -0.124 Ry per atom
* formation energy without anion corrections: 0.06 eV per atom
* symmetry: C2/m (12)

a b c (Å): 7.923 7.923 7.950
angles (deg): 102.51 102.51 68.48
Fractional positions:
Hg 0.000 0.000 0.000
Au 0.197 0.197 0.650
Au 0.803 0.803 0.350
I 0.118 0.687 0.209
I 0.200 0.200 0.309
I 0.313 0.882 0.791
I 0.419 0.419 0.735
I 0.581 0.581 0.265
I 0.687 0.118 0.209
I 0.800 0.800 0.691
I 0.882 0.313 0.791

Crystalline Pm6Zn3Ga at its relaxed geometry, computed with PBE-GGA.

Properties
* final energy: -0.280 Ry per atom
* symmetry: P2_1/m (11)

a b c (Å): 9.277 5.139 11.542
angles (deg): 90.00 106.44 90.00
Fractional positions:
Pm 0.017 0.250 0.399
Pm 0.152 0.750 0.179
Pm 0.238 0.250 0.996
Pm 0.355 0.750 0.833
Pm 0.376 0.250 0.346
Pm 0.383 0.250 0.623
Pm 0.617 0.750 0.377
Pm 0.624 0.750 0.654
Pm 0.645 0.250 0.167
Pm 0.762 0.750 0.004
Pm 0.848 0.250 0.821
Pm 0.983 0.750 0.601
Zn 0.033 0.750 0.880
Zn 0.120 0.250 0.723
Zn 0.271 0.750 0.469
Zn 0.729 0.250 0.531
Zn 0.880 0.750 0.277
Zn 0.967 0.250 0.120
Ga 0.448 0.750 0.111
Ga 0.552 0.250 0.889

Crystalline PaMnCo2H8 at its relaxed geometry, computed with PBE-GGA.

Properties
* final energy: -0.374 Ry per atom
* symmetry: P-3 (147)

a b c (Å): 4.450 4.450 4.952
angles (deg): 90.00 90.00 120.00
Fractional positions:
Pa 0.000 0.000 0.000
Mn 0.000 0.000 0.500
Co 0.333 0.667 0.611
Co 0.667 0.333 0.389
H 0.063 0.672 0.352
H 0.328 0.391 0.352
H 0.333 0.667 0.937
H 0.391 0.063 0.648
H 0.609 0.937 0.352
H 0.667 0.333 0.063
H 0.672 0.609 0.648
H 0.937 0.328 0.648

Crystalline SmEuTmMg at its relaxed geometry, computed with PBE-GGA.

Properties
* final energy: -0.383 Ry per atom
* symmetry: F-43m (216)

a b c (Å): 7.950 7.950 7.950
angles (deg): 90.00 90.00 90.00
Fractional positions:
Sm 0.000 0.000 0.000
Sm 0.000 0.500 0.500
Sm 0.500 0.000 0.500
Sm 0.500 0.500 0.000
Eu 0.000 0.000 0.500
Eu 0.000 0.500 0.000
Eu 0.500 0.000 0.000
Eu 0.500 0.500 0.500
Tm 0.250 0.250 0.750
Tm 0.250 0.750 0.250
Tm 0.750 0.250 0.250
Tm 0.750 0.750 0.750
Mg 0.250 0.250 0.250
Mg 0.250 0.750 0.750
Mg 0.750 0.250 0.750
Mg 0.750 0.750 0.250

Crystalline Ge2Bi2Te at its relaxed geometry, computed with PBE-GGA.

Properties
* excess energy over the best structure of this formula in the dataset: 109 meV per atom
* final energy: -0.277 Ry per atom
* formation energy without anion corrections: 0.25 eV per atom
* symmetry: P4/mbm (127)

a b c (Å): 8.412 8.412 3.779
angles (deg): 90.00 90.00 90.00
Fractional positions:
Ge 0.147 0.353 0.000
Ge 0.353 0.853 0.000
Ge 0.647 0.147 0.000
Ge 0.853 0.647 0.000
Bi 0.151 0.651 0.500
Bi 0.349 0.151 0.500
Bi 0.651 0.849 0.500
Bi 0.849 0.349 0.500
Te 0.000 0.000 0.000
Te 0.500 0.500 0.000

Crystalline ScCd2ReI at its relaxed geometry, computed with PBE-GGA.

Properties
* final energy: -0.251 Ry per atom
* formation energy without anion corrections: 1.02 eV per atom
* symmetry: P4/mmm (123)

a b c (Å): 5.292 5.292 5.090
angles (deg): 90.00 90.00 90.00
Fractional positions:
Sc 0.000 0.000 0.000
Cd 0.000 0.500 0.500
Cd 0.500 0.000 0.500
Re 0.500 0.500 0.500
I 0.500 0.500 0.000